Compound: KNaMnF4
Source: Alexandria via LeMat-Bulk
Functional: PBE with a Hubbard U
Structure: relaxed

Lattice parameters (Å, degrees): 4.212 4.212 12.762 90.00 90.00 90.00
Sites, in units of the cell vectors:
1 K 0.000 0.000 0.000
2 K 0.500 0.500 0.500
3 Na 0.000 0.000 0.706
4 Na 0.500 0.500 0.206
5 Mn 0.000 0.000 0.355
6 Mn 0.500 0.500 0.855
7 F 0.000 0.000 0.192
8 F 0.000 0.000 0.525
9 F 0.000 0.500 0.350
10 F 0.000 0.500 0.850
11 F 0.500 0.000 0.350
12 F 0.500 0.000 0.850
13 F 0.500 0.500 0.025
14 F 0.500 0.500 0.692

Calculated values
Density of states at the Fermi level: 0.00 states/eV/cell
Uncorrected energy: -5.17 eV/atom